VASP calculation (PBEsol) on a relaxed LiIrW2 crystal.

abc: 2.6979 4.5674 4.9378
angles: 95.92 90.00 107.18
Atoms (fractional coordinates):
W 0.9979 0.9958 0.0188
W 0.2444 0.4887 0.7374
Ir 0.5034 0.0068 0.4940
Li 0.7543 0.5086 0.2498

The value obtained for the relative energy among the computed polymorphs is 33.4 meV per atom. The energy relative to the elements is 19 kJ/mol of atoms. As for the space-group type: Cm, No. 8. The calculation puts the uncorrected energy at -9.65 eV per atom.